Record 1
First-principles (PBE) data for crystalline ScCoBRu2 at its relaxed geometry, as listed in the Alexandria database.

- VASP energy (eV per atom) = -6.32
- formation energy from the elements (eV per formula unit) = 7.04
- DOS(E_F) (states/eV/atom) = 1.324
- total magnetization (μB per cell) = 0.0
- energy relative to the lowest polymorph listed for this composition (meV/atom) = 1766.9
- mass density (kg/m³) = 6086

abc: 4.358 4.552 4.358
angles: 90.00 90.00 90.00
Fractional positions:
Ru 0.000 0.000 0.500
Sc 0.000 0.500 0.000
B 0.500 0.500 0.500
Co 0.000 0.000 0.000
Ru 0.500 0.000 0.000

Record 2
First-principles (PBE) data for crystalline Mg2NiOs2 at its relaxed geometry, as listed in the Alexandria database.

- VASP energy (eV per atom) = -5.95
- formation energy from the elements (eV per formula unit) = 1.67
- DOS(E_F) (states/eV/atom) = 1.099
- total magnetization (μB per cell) = 3.4
- mass density (kg/m³) = 9654

abc: 6.238 6.238 4.313
angles: 90.00 90.00 90.00
Site moments in Bohr magnetons follow the coordinates.
Fractional positions:
Mg 0.329 0.171 0.500  0.01
Os 0.134 0.366 0.000  0.45
Os 0.634 0.134 0.000  0.48
Os 0.366 0.866 0.000  0.48
Os 0.866 0.634 0.000  0.45
Ni 0.000 0.000 0.000  0.68
Mg 0.829 0.329 0.500  0.01
Mg 0.671 0.829 0.500  0.01
Ni 0.500 0.500 0.000  0.67
Mg 0.171 0.671 0.500  0.01

Record 3
First-principles (PBE) data for crystalline Si2HgSe at its relaxed geometry, as listed in the Alexandria database.

- VASP energy (eV per atom) = -3.11
- DOS(E_F) (states/eV/atom) = 0.384
- formation energy without anion corrections (eV/atom) = 0.552
- total magnetization (μB per cell) = 0.0
- energy relative to the lowest polymorph listed for this composition (meV/atom) = 402.9
- mass density (kg/m³) = 6641

abc: 3.700 5.728 3.962
angles: 90.00 90.00 90.00
Fractional positions:
Si 0.500 0.500 0.000
Se 0.000 0.500 0.500
Si 0.000 0.000 0.000
Hg 0.500 0.000 0.500

Record 4
First-principles (PBE) data for crystalline Mn2Al2Zn at its relaxed geometry, as listed in the Alexandria database.

- VASP energy (eV per atom) = -5.44
- formation energy from the elements (eV per formula unit) = -0.08
- DOS(E_F) (states/eV/atom) = 0.478
- total magnetization (μB per cell) = 5.9
- energy relative to the lowest polymorph listed for this composition (meV/atom) = 5.0
- mass density (kg/m³) = 5439

abc: 6.273 6.273 3.557
angles: 90.00 90.00 90.00
Site moments in Bohr magnetons follow the coordinates.
Fractional positions:
Mn 0.131 0.369 0.000  1.61
Zn 0.500 0.500 0.000  -0.04
Al 0.836 0.336 0.500  -0.05
Mn 0.869 0.631 0.000  1.61
Zn 0.000 0.000 0.000  -0.04
Al 0.336 0.164 0.500  -0.05
Mn 0.369 0.869 0.000  1.61
Al 0.664 0.836 0.500  -0.05
Mn 0.631 0.131 0.000  1.61
Al 0.164 0.664 0.500  -0.05

Record 5
First-principles (PBE) data for crystalline CuTeIr at its relaxed geometry, as listed in the Alexandria database.

- VASP energy (eV per atom) = -5.09
- DOS(E_F) (states/eV/atom) = 0.650
- formation energy without anion corrections (eV/atom) = 0.272
- total magnetization (μB per cell) = 0.0
- energy relative to the lowest polymorph listed for this composition (meV/atom) = 137.8
- mass density (kg/m³) = 12616

abc: 4.725 4.725 4.725
angles: 135.85 135.87 64.19
Fractional positions:
Te 0.323 0.323 0.000
Ir 0.670 0.670 0.000
Cu 0.007 0.007 0.000

Record 6
First-principles (PBE) data for crystalline AlPtI3 at its relaxed geometry, as listed in the Alexandria database.

- VASP energy (eV per atom) = -2.78
- DOS(E_F) (states/eV/atom) = 0.231
- formation energy without anion corrections (eV/atom) = 0.110
- total magnetization (μB per cell) = 0.0
- energy relative to the lowest polymorph listed for this composition (meV/atom) = 0.0
- mass density (kg/m³) = 5926

abc: 5.528 5.528 5.528
angles: 90.00 90.00 90.00
Fractional positions:
I 0.500 0.000 0.000
I 0.000 0.000 0.500
I 0.000 0.500 0.000
Pt 0.000 0.000 0.000
Al 0.500 0.500 0.500

Record 7
First-principles (PBE) data for crystalline CrCo2Os at its relaxed geometry, as listed in the Alexandria database.

- VASP energy (eV per atom) = -8.71
- formation energy from the elements (eV per formula unit) = 0.21
- DOS(E_F) (states/eV/atom) = 1.038
- total magnetization (μB per cell) = 0.5
- energy relative to the lowest polymorph listed for this composition (meV/atom) = 40.8
- mass density (kg/m³) = 12795

abc: 4.457 4.457 4.457
angles: 132.84 132.84 68.90
Site moments in Bohr magnetons follow the coordinates.
Fractional positions:
Co 0.500 0.500 0.000  -0.08
Co 0.000 0.000 0.000  -0.08
Os 0.750 0.250 0.500  -0.10
Cr 0.250 0.750 0.500  0.74

Record 8
First-principles (PBE) data for crystalline ScOsAu3 at its relaxed geometry, as listed in the Alexandria database.

- VASP energy (eV per atom) = -4.63
- formation energy from the elements (eV per formula unit) = 4.25
- DOS(E_F) (states/eV/atom) = 1.230
- total magnetization (μB per cell) = 0.0
- energy relative to the lowest polymorph listed for this composition (meV/atom) = 0.0
- mass density (kg/m³) = 11073

abc: 4.985 4.985 4.985
angles: 90.00 90.00 90.00
Fractional positions:
Os 0.000 0.000 0.000
Au 0.000 0.500 0.000
Au 0.500 0.000 0.000
Sc 0.500 0.500 0.500
Au 0.000 0.000 0.500

Record 9
First-principles (PBE) data for crystalline Mg2ScTa at its relaxed geometry, as listed in the Alexandria database.

- VASP energy (eV per atom) = -5.01
- formation energy from the elements (eV per formula unit) = 1.34
- DOS(E_F) (states/eV/atom) = 0.878
- total magnetization (μB per cell) = 0.0
- energy relative to the lowest polymorph listed for this composition (meV/atom) = 265.2
- mass density (kg/m³) = 5620

abc: 4.859 4.859 4.859
angles: 60.00 60.00 60.00
Fractional positions:
Mg 0.250 0.250 0.250
Mg 0.750 0.750 0.750
Sc 0.000 0.000 0.000
Ta 0.500 0.500 0.500

Record 10
First-principles (PBE) data for crystalline NpPaI6 at its relaxed geometry, as listed in the Alexandria database.

- VASP energy (eV per atom) = -4.80
- DOS(E_F) (states/eV/atom) = 1.708
- formation energy without anion corrections (eV/atom) = -0.830
- total magnetization (μB per cell) = 6.0
- mass density (kg/m³) = 5145

abc: 7.638 8.156 8.156
angles: 124.26 98.81 98.81
Site moments in Bohr magnetons follow the coordinates.
Fractional positions:
I 0.754 0.248 0.248  -0.03
Pa 0.000 0.000 0.000  1.51
I 0.247 0.398 0.093  -0.03
I 0.753 0.602 0.907  -0.03
I 0.246 0.752 0.752  -0.03
I 0.247 0.093 0.398  -0.03
Np 0.500 0.500 0.500  4.29
I 0.753 0.907 0.602  -0.03

Record 11
First-principles (PBE) data for crystalline CaScZn2 at its relaxed geometry, as listed in the Alexandria database.

- VASP energy (eV per atom) = -2.73
- formation energy from the elements (eV per formula unit) = -0.03
- DOS(E_F) (states/eV/atom) = 1.178
- total magnetization (μB per cell) = 0.0
- mass density (kg/m³) = 3772

abc: 3.435 6.326 5.982
angles: 46.98 90.00 90.00
Fractional positions:
Ca 0.500 0.500 0.500
Zn 0.000 0.000 0.000
Zn 0.500 0.500 0.000
Sc 0.000 0.000 0.500

Record 12
First-principles (PBE) data for crystalline Pu6Ge2Pt at its relaxed geometry, as listed in the Alexandria database.

- VASP energy (eV per atom) = -11.39
- formation energy from the elements (eV per formula unit) = -1.25
- DOS(E_F) (states/eV/atom) = 2.838
- total magnetization (μB per cell) = 34.7
- energy relative to the lowest polymorph listed for this composition (meV/atom) = 58.8
- mass density (kg/m³) = 15003

abc: 3.077 8.657 8.657
angles: 120.00 90.00 90.00
Site moments in Bohr magnetons follow the coordinates.
Fractional positions:
Pu 0.500 0.000 0.668  5.63
Pu 0.500 0.000 0.332  5.63
Pt 0.000 0.000 0.000  0.04
Pu 0.500 0.332 0.000  5.63
Pu 0.500 0.668 0.668  5.63
Ge 0.000 0.333 0.667  -0.10
Ge 0.000 0.667 0.333  -0.10
Pu 0.500 0.332 0.332  5.63
Pu 0.500 0.668 0.000  5.63

Repeat the fifth record exactly.
First-principles (PBE) data for crystalline CuTeIr at its relaxed geometry, as listed in the Alexandria database.

- VASP energy (eV per atom) = -5.09
- DOS(E_F) (states/eV/atom) = 0.650
- formation energy without anion corrections (eV/atom) = 0.272
- total magnetization (μB per cell) = 0.0
- energy relative to the lowest polymorph listed for this composition (meV/atom) = 137.8
- mass density (kg/m³) = 12616

abc: 4.725 4.725 4.725
angles: 135.85 135.87 64.19
Fractional positions:
Te 0.323 0.323 0.000
Ir 0.670 0.670 0.000
Cu 0.007 0.007 0.000